1.
DFT (PBE) results for a geometry-optimized Mg2TlMo structure. Values from VASP.

Quantum ESPRESSO input file:
```
&SYSTEM
  ibrav = 0, nat = 4, ntyp = 3
/
ATOMIC_SPECIES
Tl 204.38 Tl.upf
Mg 24.30 Mg.upf
Mo 95.94 Mo.upf
ATOMIC_POSITIONS angstrom
Tl 1.7416 -2.4322 0.1642
Mg -1.2014 -2.7625 -0.2892
Mg 0.0000 0.0000 0.0000
Mo -0.2254 -1.8085 2.3779
CELL_PARAMETERS angstrom
-3.1684 -2.1388 1.9244
0.7657 -3.3861 -2.5028
2.7176 -1.4783 2.8313
```

Energy of formation (meV/atom): 340
Electronic total energy (eV per cell): -15.03
Polymorph energy (0 for the lowest one) (eV per atom): 0.058

=====

2.
DFT (PBE) results for a geometry-optimized K3Cd3Hg structure. Values from VASP.

Quantum ESPRESSO input file:
```
&SYSTEM
  ibrav = 0, nat = 14, ntyp = 3
/
ATOMIC_SPECIES
K 39.10 K.upf
Cd 112.41 Cd.upf
Hg 200.59 Hg.upf
ATOMIC_POSITIONS angstrom
K 4.9506 4.3664 2.0878
K 5.8739 4.3598 13.4343
K 2.9225 1.6905 15.5516
K 1.9991 1.6970 4.2050
K 4.2132 4.1707 6.9827
K 3.6598 1.8862 10.6567
Cd 0.7307 0.6723 12.6255
Cd 1.4498 1.5843 7.8515
Cd 4.9564 0.7034 2.0491
Cd 7.1423 5.3846 5.0139
Cd 6.4232 4.4725 9.7878
Cd 2.9166 5.3535 15.5902
Hg 3.6831 5.5821 10.5017
Hg 4.1899 0.4748 7.1376
CELL_PARAMETERS angstrom
5.1483 0.0000 0.7755
2.5549 6.2729 0.5153
0.1699 -0.2160 16.3486
```

Energy of formation (meV/atom): -115
Electronic total energy (eV per cell): -14.29

=====

3.
DFT (PBE) results for a geometry-optimized TaPt2Se structure. Values from VASP.

Quantum ESPRESSO input file:
```
&SYSTEM
  ibrav = 0, nat = 4, ntyp = 3
/
ATOMIC_SPECIES
Se 78.96 Se.upf
Ta 180.95 Ta.upf
Pt 195.08 Pt.upf
ATOMIC_POSITIONS angstrom
Se 1.4348 1.4412 2.1023
Ta 1.4348 1.4412 6.3070
Pt 0.0000 0.0000 8.2069
Pt 0.0000 0.0000 4.4071
CELL_PARAMETERS angstrom
2.8756 0.0067 0.0000
-0.0061 2.8756 0.0000
0.0000 0.0000 8.4093
```

Electronic total energy (eV per cell): -28.64
Formation energy (no corrections) (eV/atom): -0.306

=====

4.
DFT (PBE) results for a geometry-optimized GdDyMgTl structure. Values from VASP.

Quantum ESPRESSO input file:
```
&SYSTEM
  ibrav = 0, nat = 4, ntyp = 4
/
ATOMIC_SPECIES
Tl 204.38 Tl.upf
Mg 24.30 Mg.upf
Dy 162.50 Dy.upf
Gd 157.25 Gd.upf
ATOMIC_POSITIONS angstrom
Tl 0.0000 0.0000 0.0000
Mg -2.4505 -2.4783 -5.5677
Dy -3.6757 -3.7175 -8.3515
Gd -1.2252 -1.2392 -2.7838
CELL_PARAMETERS angstrom
-4.0254 0.3060 -3.5308
0.9405 -0.8171 -5.2165
-1.8161 -4.4455 -2.3881
```

Energy of formation (meV/atom): -245
Electronic total energy (eV per cell): -23.62

=====

In order of appearance, total moment = 0.72; 0.00; 0.00; 7.77 μB/cell.